The following is a DFT calculation (PBE) of crystalline Zn2FeIrPt at its relaxed geometry.

abc: 4.6747 4.6110 4.6747
angles: 90.00 90.00 90.00
Site moments in Bohr magnetons follow the coordinates.
Fractional positions:
Zn 0.0000 0.0000 0.5000  -0.02
Zn 0.5000 0.0000 0.0000  -0.01
Ir 0.0000 0.0000 0.0000  0.36
Fe 0.0000 0.5000 0.0000  3.27
Pt 0.5000 0.5000 0.5000  0.00

Space-group type ... P4/mmm (123)
Formation energy ... 0.85 eV/atom
Density ... 9.5 g cm⁻³

=====

The following is a DFT calculation (PBE) of crystalline ZrFeIr2Pt at its relaxed geometry.

abc: 4.8327 4.9226 4.8327
angles: 90.00 90.00 90.00
Site moments in Bohr magnetons follow the coordinates.
Fractional positions:
Ir 0.0000 0.0000 0.5000  0.11
Ir 0.5000 0.0000 0.0000  0.17
Zr 0.0000 0.0000 0.0000  -0.02
Pt 0.0000 0.5000 0.0000  0.00
Fe 0.5000 0.5000 0.5000  3.44

Space-group type ... P4/mmm (123)
Formation energy ... 1.54 eV/atom
Density ... 10.5 g cm⁻³

=====

The following is a DFT calculation (PBE) of crystalline Pu2FeIr3 at its relaxed geometry.

abc: 5.4987 5.4987 5.1281
angles: 89.96 122.43 120.03
Site moments in Bohr magnetons follow the coordinates.
Fractional positions:
Pu 0.7547 0.3774 0.1321  4.93
Pu 0.2453 0.6226 0.8679  4.93
Fe 0.0000 0.0000 0.0000  2.32
Ir 0.5000 0.5000 0.5000  -0.14
Ir 0.0000 0.0000 0.5000  -0.14
Ir 0.5000 0.0000 0.5000  -0.14

Space-group type ... R-3m (166)
Formation energy ... -0.46 eV/atom
Density ... 17.6 g cm⁻³

=====

The following is a DFT calculation (PBE) of crystalline PuFe4Ir at its relaxed geometry.

abc: 4.9393 4.9393 4.9393
angles: 60.00 60.00 60.00
Site moments in Bohr magnetons follow the coordinates.
Fractional positions:
Ir 0.0000 0.0000 0.0000  0.60
Fe 0.6260 0.6260 0.1221  2.40
Fe 0.6260 0.1221 0.6260  2.40
Fe 0.6260 0.6260 0.6260  2.40
Fe 0.1221 0.6260 0.6260  2.40
Pu 0.2500 0.2500 0.2500  -4.82

Space-group type ... F-43m (216)
Formation energy ... -0.04 eV/atom
Density ... 12.9 g cm⁻³

=====

The following is a DFT calculation (PBE) of crystalline Pu2FeIr at its relaxed geometry.

abc: 3.4969 4.7228 4.7228
angles: 90.00 90.00 90.00
Site moments in Bohr magnetons follow the coordinates.
Fractional positions:
Ir 0.5000 0.0000 0.0000  -0.41
Fe 0.5000 0.5000 0.5000  -2.28
Pu 0.0000 0.0000 0.5000  5.16
Pu 0.0000 0.5000 0.0000  5.16

Space-group type ... P4/mmm (123)
Formation energy ... -0.19 eV/atom
Density ... 15.7 g cm⁻³

=====

The following is a DFT calculation (PBE) of crystalline Pu2Fe3Ir at its relaxed geometry.

abc: 5.0620 5.0620 5.2704
angles: 90.14 118.68 119.86
Site moments in Bohr magnetons follow the coordinates.
Fractional positions:
Pu 0.7525 0.3765 0.1290  5.18
Pu 0.2475 0.6235 0.8710  5.18
Fe 0.5000 0.5000 0.5000  -2.23
Fe 0.0000 0.0000 0.5000  -2.23
Fe 0.5000 0.0000 0.5000  -2.23
Ir 0.0000 0.0000 0.0000  -0.30

Space-group type ... C2/m (12)
Formation energy ... -0.25 eV/atom
Density ... 14.4 g cm⁻³

=====

The following is a DFT calculation (PBE) of crystalline Pu8FeIr5 at its relaxed geometry.

abc: 7.3401 7.3401 7.3401
angles: 109.74 108.94 109.74
Site moments in Bohr magnetons follow the coordinates.
Fractional positions:
Pu 0.1268 0.7432 0.0110  5.08
Pu 0.9890 0.1158 0.7321  5.08
Pu 0.7639 0.2506 0.3742  5.05
Pu 0.6258 0.3897 0.8765  5.05
Pu 0.4867 0.6103 0.2361  5.05
Pu 0.6164 0.8842 0.8732  5.08
Pu 0.2679 0.2568 0.3836  5.08
Pu 0.1235 0.7494 0.5133  5.05
Fe 0.2500 0.5000 0.7500  -2.05
Ir 0.9987 0.3707 0.1223  -0.34
Ir 0.8777 0.8764 0.2485  -0.34
Ir 0.7515 0.6293 0.6280  -0.34
Ir 0.5000 0.0000 0.5000  -0.34
Ir 0.3720 0.1236 0.0013  -0.34

Space-group type ... I-4 (82)
Formation energy ... -0.35 eV/atom
Density ... 16.2 g cm⁻³

=====

The following is a DFT calculation (PBE) of crystalline PuFe2Ir at its relaxed geometry.

abc: 4.4169 4.4169 4.4169
angles: 60.00 60.00 60.00
Site moments in Bohr magnetons follow the coordinates.
Fractional positions:
Ir 0.5000 0.5000 0.5000  0.55
Fe 0.2500 0.2500 0.2500  2.29
Fe 0.7500 0.7500 0.7500  2.29
Pu 0.0000 0.0000 0.0000  -4.91

Space-group type ... Fm-3m (225)
Formation energy ... -0.07 eV/atom
Density ... 14.9 g cm⁻³

=====

The following is a DFT calculation (PBE) of crystalline PuScFeIr at its relaxed geometry.

abc: 4.6586 4.6586 4.6586
angles: 60.00 60.00 60.00
Site moments in Bohr magnetons follow the coordinates.
Fractional positions:
Sc 0.0000 0.0000 0.0000  0.25
Ir 0.7500 0.7500 0.7500  -0.23
Fe 0.2500 0.2500 0.2500  -2.01
Pu 0.5000 0.5000 0.5000  5.06

Space-group type ... F-43m (216)
Formation energy ... -0.39 eV/atom
Density ... 12.5 g cm⁻³

=====

The following is a DFT calculation (PBE) of crystalline Pu2FeSi4Ir3 at its relaxed geometry.

abc: 4.1235 4.1235 9.7889
angles: 90.00 90.00 90.00
Site moments in Bohr magnetons follow the coordinates.
Fractional positions:
Pu 0.5000 0.0000 0.2530  5.00
Pu 0.0000 0.5000 0.7470  5.00
Fe 0.5000 0.5000 0.5000  -0.56
Si 0.5000 0.5000 0.0000  -0.01
Si 0.0000 0.0000 0.0000  -0.01
Si 0.5000 0.0000 0.6234  0.00
Si 0.0000 0.5000 0.3766  0.00
Ir 0.0000 0.0000 0.5000  0.02
Ir 0.5000 0.0000 0.8705  -0.06
Ir 0.0000 0.5000 0.1295  -0.06

Space-group type ... P-4m2 (115)
Formation energy (no corrections) ... -0.745 eV/atom
Density ... 12.3 g cm⁻³

=====

The following is a DFT calculation (PBE) of crystalline Pu2FeSi6Ir at its relaxed geometry.

abc: 5.7989 5.7989 12.4555
angles: 76.54 76.54 60.00
Site moments in Bohr magnetons follow the coordinates.
Fractional positions:
Pu 0.8749 0.8749 0.3752  5.06
Pu 0.1251 0.1251 0.6248  5.06
Pu 0.7187 0.7187 0.8439  5.24
Pu 0.2813 0.2813 0.1561  5.24
Fe 0.0000 0.0000 0.0000  -1.10
Fe 0.5000 0.5000 0.5000  1.01
Si 0.9276 0.3394 0.3936  -0.03
Si 0.3394 0.9276 0.3936  -0.03
Si 0.3394 0.3394 0.3936  -0.03
Si 0.0724 0.6606 0.6064  -0.03
Si 0.6606 0.0724 0.6064  -0.03
Si 0.6606 0.6606 0.6064  -0.03
Si 0.7746 0.1890 0.8474  -0.03
Si 0.1890 0.7746 0.8474  -0.03
Si 0.1890 0.1890 0.8474  -0.03
Si 0.2254 0.8110 0.1526  -0.03
Si 0.8110 0.2254 0.1526  -0.03
Si 0.8110 0.8110 0.1526  -0.03
Ir 0.5778 0.5778 0.2665  0.06
Ir 0.4222 0.4222 0.7335  0.06

Space-group type ... R-3m (166)
Formation energy (no corrections) ... -0.383 eV/atom
Density ... 8.6 g cm⁻³

=====

The following is a DFT calculation (PBE) of crystalline TbPuFeIr at its relaxed geometry.

abc: 4.8145 4.8145 4.8145
angles: 60.00 60.00 60.00
Site moments in Bohr magnetons follow the coordinates.
Fractional positions:
Ir 0.7500 0.7500 0.7500  -0.27
Tb 0.5000 0.5000 0.5000  0.29
Fe 0.2500 0.2500 0.2500  -2.15
Pu 0.0000 0.0000 0.0000  5.18

Space-group type ... F-43m (216)
Formation energy ... -0.28 eV/atom
Density ... 13.7 g cm⁻³